The following is a DFT calculation (PBE) of a geometry-optimized LiAcMg structure.

E_tot (eV/cell): -15.00
Size of the total moment (μB/f.u.): 0.00
Energy relative to the lowest polymorph listed for this composition (eV per formula unit): 0.18

CIF file:
```
data_LiAcMg
_chemical_formula_sum 'Li2 Ac2 Mg2'
_space_group_name_H-M_alt 'I 4 m m'
_space_group_IT_number 107
_space_group_name_Hall 'I 4 -2'
_cell_length_a 3.876
_cell_length_b 3.876
_cell_length_c 11.984
_cell_angle_alpha 90.00
_cell_angle_beta 90.00
_cell_angle_gamma 90.00
loop_
_atom_site_label
_atom_site_fract_x
_atom_site_fract_y
_atom_site_fract_z
Li1 0.000 0.000 0.000
Ac1 0.000 0.000 0.304
Mg1 0.000 0.000 0.610
```